1.
SmHoTh2N4: optimized geometry, PBE.

Properties
- SG: P2/m, No. 10
- Density of states at the Fermi level: 2.744 states/eV/f.u.
- Crystal system: monoclinic
- Formation energy (no corrections): -1.587 eV per atom
- V: 132 Å³/cell

Unit cell a=3.6057 b=6.2469 c=6.2012 alpha=109.57 beta=90.00 gamma=90.00
Fractional positions:
1 N 0.5000 0.7559 0.7514
2 N 0.0000 0.2437 0.7471
3 Th 0.0000 0.5000 0.5000
4 Ho 0.0000 0.0000 0.0000
5 Th 0.5000 0.0000 0.5000
6 Sm 0.5000 0.5000 0.0000
7 N 0.0000 0.7563 0.2529
8 N 0.5000 0.2441 0.2486

2.
PaFe3Si2: optimized geometry, PBE.

Properties
- SG: C2/m, No. 12
- Density of states at the Fermi level: 4.871 states/eV/f.u.
- Crystal system: monoclinic
- Formation energy (no corrections): -0.471 eV per atom
- V: 171 Å³/cell

Unit cell a=3.8037 b=7.6601 c=6.7410 alpha=115.28 beta=90.00 gamma=104.38
Fractional positions:
1 Fe 0.4132 0.8264 0.3507
2 Si 0.5202 0.0403 0.1887
3 Fe 0.6823 0.3646 0.4382
4 Fe 0.9673 0.9346 0.6254
5 Si 0.1878 0.3757 0.6673
6 Fe 0.5868 0.1736 0.6493
7 Pa 0.8495 0.6991 0.9239
8 Si 0.8122 0.6243 0.3327
9 Si 0.4798 0.9597 0.8113
10 Pa 0.1505 0.3009 0.0761
11 Fe 0.3177 0.6354 0.5618
12 Fe 0.0327 0.0654 0.3746

3.
La2MgAg: optimized geometry, PBE.

Properties
- SG: R-3m, No. 166
- Density of states at the Fermi level: 5.603 states/eV/f.u.
- Calculated total energy: -3.564 eV per atom
- Crystal system: trigonal
- V: 123 Å³/cell

Unit cell a=10.5904 b=10.5904 c=10.5904 alpha=20.14 beta=20.14 gamma=20.14
Fractional positions:
1 La 0.4952 0.4952 0.4952
2 La 0.0048 0.0048 0.0048
3 Ag 0.7500 0.7500 0.7500
4 Mg 0.2500 0.2500 0.2500

4.
SrReAu4: optimized geometry, PBE.

Properties
- SG: F-43m, No. 216
- Density of states at the Fermi level: 3.512 states/eV/f.u.
- Calculated total energy: -4.197 eV per atom
- Crystal system: cubic
- V: 125 Å³/cell

Unit cell a=5.6130 b=5.6130 c=5.6130 alpha=60.00 beta=60.00 gamma=60.00
Fractional positions:
1 Au 0.3754 0.8739 0.3754
2 Re 0.7500 0.7500 0.7500
3 Au 0.3754 0.3754 0.3754
4 Au 0.8739 0.3754 0.3754
5 Au 0.3754 0.3754 0.8739
6 Sr 0.0000 0.0000 0.0000

5.
Eu2TmLu: optimized geometry, PBE.

Properties
- Energy relative to the lowest polymorph listed for this composition: 0.22 eV per formula unit
- SG: Fm-3m, No. 225
- Density of states at the Fermi level: 5.308 states/eV/f.u.
- Crystal system: cubic
- V: 136 Å³/cell

Unit cell a=5.7772 b=5.7772 c=5.7772 alpha=60.00 beta=60.00 gamma=60.00
Fractional positions:
1 Eu 0.7500 0.7500 0.7500
2 Eu 0.2500 0.2500 0.2500
3 Tm 0.5000 0.5000 0.5000
4 Lu 0.0000 0.0000 0.0000

6.
LiSm4Ga12: optimized geometry, PBE.

Properties
- SG: Im-3m, No. 229
- Density of states at the Fermi level: 3.655 states/eV/f.u.
- Calculated total energy: -3.905 eV per atom
- Crystal system: cubic
- V: 338 Å³/cell

Unit cell a=7.6035 b=7.6035 c=7.6035 alpha=109.47 beta=109.47 gamma=109.47
Fractional positions:
1 Ga 0.2987 0.2987 0.0000
2 Ga 0.2500 0.7500 0.5000
3 Ga 0.2987 0.0000 0.2987
4 Ga 0.7500 0.2500 0.5000
5 Sm 0.0000 0.0000 0.5000
6 Sm 0.0000 0.5000 0.0000
7 Ga 0.5000 0.2500 0.7500
8 Sm 0.5000 0.5000 0.5000
9 Ga 0.0000 0.2987 0.2987
10 Li 0.0000 0.0000 0.0000
11 Ga 0.5000 0.7500 0.2500
12 Ga 0.0000 0.7013 0.7013
13 Ga 0.7500 0.5000 0.2500
14 Ga 0.2500 0.5000 0.7500
15 Ga 0.7013 0.0000 0.7013
16 Sm 0.5000 0.0000 0.0000
17 Ga 0.7013 0.7013 0.0000

7.
Ni2HgSe: optimized geometry, PBE.

Properties
- SG: Immm, No. 71
- Density of states at the Fermi level: 3.249 states/eV/f.u.
- Crystal system: orthorhombic
- Formation energy (no corrections): 0.283 eV per atom
- V: 64 Å³/cell

Unit cell a=4.5439 b=4.5439 c=4.5439 alpha=127.82 beta=114.45 gamma=88.45
Fractional positions:
1 Se 0.7500 0.2500 0.5000
2 Ni 0.9553 0.9553 0.0000
3 Ni 0.5447 0.5447 0.0000
4 Hg 0.2500 0.7500 0.5000

8.
MgIrRu2: optimized geometry, PBE.

Properties
- SG: I-42d, No. 122
- Density of states at the Fermi level: 4.897 states/eV/f.u.
- Calculated total energy: -6.700 eV per atom
- Crystal system: tetragonal
- V: 139 Å³/cell

Unit cell a=7.4094 b=7.4094 c=5.8194 alpha=50.46 beta=50.46 gamma=90.00
Fractional positions:
1 Ru 0.3750 0.3228 0.7500
2 Ru 0.6772 0.1250 0.2500
3 Mg 0.5000 0.5000 0.0000
4 Ru 0.0728 0.6250 0.2500
5 Ir 0.7500 0.2500 0.5000
6 Ru 0.8750 0.9272 0.7500
7 Mg 0.2500 0.7500 0.5000
8 Ir 0.0000 0.0000 0.0000